(1)
Density functional theory data (PBE) for U6Se12I after structural relaxation.

a b c (Å): 8.3695 8.3695 8.3695
angles (deg): 103.92 103.92 103.92
Element x y z (fractional)
1 U 0.2528 0.2528 0.6695
2 U 0.2528 0.6695 0.2528
3 U 0.3305 0.7472 0.7472
4 U 0.6695 0.2528 0.2528
5 U 0.7472 0.3305 0.7472
6 U 0.7472 0.7472 0.3305
7 Se 0.1273 0.5000 0.8727
8 Se 0.1273 0.8727 0.5000
9 Se 0.1858 0.4485 0.4485
10 Se 0.4485 0.1858 0.4485
11 Se 0.4485 0.4485 0.1858
12 Se 0.5000 0.1273 0.8727
13 Se 0.5000 0.8727 0.1273
14 Se 0.5515 0.5515 0.8142
15 Se 0.5515 0.8142 0.5515
16 Se 0.8142 0.5515 0.5515
17 Se 0.8727 0.1273 0.5000
18 Se 0.8727 0.5000 0.1273
19 I 0.0000 0.0000 0.0000

Output
Uncorrected formation energy (eV/atom): -1.005
DFT total energy (eV/f.u.): -130.2
Total magnetic moment (μB per cell): 11.00
Crystal system: trigonal

***

(2)
Density functional theory data (PBE) for U2SeI8 after structural relaxation.

a b c (Å): 11.1519 11.1519 6.0935
angles (deg): 105.47 105.47 68.58
Element x y z (fractional)
1 U 0.1535 0.1535 0.1520
2 U 0.8465 0.8465 0.8480
3 Se 0.0000 0.0000 0.0000
4 I 0.0808 0.6227 0.8531
5 I 0.1500 0.1500 0.6485
6 I 0.3189 0.3189 0.3141
7 I 0.3773 0.9192 0.1469
8 I 0.6227 0.0808 0.8531
9 I 0.6811 0.6811 0.6859
10 I 0.8500 0.8500 0.3515
11 I 0.9192 0.3773 0.1469

Output
Uncorrected formation energy (eV/atom): -0.707
DFT total energy (eV/f.u.): -46.2
Total magnetic moment (μB per cell): 2.00
Crystal system: monoclinic

***

(3)
Density functional theory data (PBE) for U2Se4I after structural relaxation.

a b c (Å): 8.9185 8.9185 8.2308
angles (deg): 117.43 117.43 46.65
Element x y z (fractional)
1 U 0.0000 0.0000 0.0000
2 U 0.2120 0.3909 0.0506
3 U 0.6091 0.7880 0.9494
4 U 0.9975 0.0025 0.5000
5 Se 0.2735 0.7203 0.2468
6 Se 0.2797 0.7265 0.7532
7 Se 0.3235 0.0717 0.1790
8 Se 0.3254 0.0700 0.7169
9 Se 0.6619 0.1257 0.1441
10 Se 0.8743 0.3381 0.8559
11 Se 0.9283 0.6765 0.8210
12 Se 0.9300 0.6746 0.2831
13 I 0.6425 0.1137 0.6281
14 I 0.8863 0.3575 0.3719

Output
Uncorrected formation energy (eV/atom): -0.976
DFT total energy (eV/f.u.): -44.9
Total magnetic moment (μB per cell): 6.00
Crystal system: monoclinic

***

- What is the total magnetic moment in the first record?
  11.00 μB per cell

***

- Which value of uncorrected formation energy does entry 2 give?
  -0.707 eV/atom

***

- The lowest total magnetic moment belongs to which entry?
  U2SeI8

***

- Among the records above, which one has the highest uncorrected formation energy?
  U2SeI8